# 1
{"formula": "Tb6SmHo6", "functional": "GGA-PBE", "state": "optimized geometry", "dft_energy_ev_per_atom": -4.333, "delta_e_f_ev_per_atom": 0.2796, "space_group": "No. 191", "cell": [[6.6344, 0.0000, 0.0000], [-3.3172, 5.7456, 0.0000], [0.0000, 0.0000, 11.3829]], "species": ["Tb", "Tb", "Tb", "Tb", "Tb", "Tb", "Sm", "Ho", "Ho", "Ho", "Ho", "Ho", "Ho"], "fractional_positions": [[0.0000, 0.0000, 0.1523], [0.0000, 0.0000, 0.8477], [0.3333, 0.6667, 0.0000], [0.3333, 0.6667, 0.5000], [0.6667, 0.3333, 0.0000], [0.6667, 0.3333, 0.5000], [0.0000, 0.0000, 0.5000], [0.0000, 0.5000, 0.2553], [0.0000, 0.5000, 0.7447], [0.5000, 0.0000, 0.2553], [0.5000, 0.0000, 0.7447], [0.5000, 0.5000, 0.2553], [0.5000, 0.5000, 0.7447]]}



# 2
{"formula": "KSc4Rh", "functional": "GGA-PBE", "state": "optimized geometry", "dft_energy_ev_per_atom": -4.972, "delta_e_f_ev_per_atom": 0.6577, "space_group": "No. 216", "cell": [[0.0000, 4.2287, 4.2287], [4.2287, 0.0000, 4.2287], [4.2287, 4.2287, 0.0000]], "species": ["K", "Sc", "Sc", "Sc", "Sc", "Rh"], "fractional_positions": [[0.0000, 0.0000, 0.0000], [0.3783, 0.3783, 0.3783], [0.3783, 0.3783, 0.8650], [0.3783, 0.8650, 0.3783], [0.8650, 0.3783, 0.3783], [0.7500, 0.7500, 0.7500]]}



# 3
{"formula": "ErTh2Mg", "functional": "GGA-PBE", "state": "optimized geometry", "dft_energy_ev_per_atom": -5.173, "delta_e_f_ev_per_atom": 0.0760, "e_above_lowest_polymorph_ev_per_atom": 0.0690, "space_group": "No. 123", "cell": [[3.4734, 0.0000, 0.0000], [0.0000, 3.4734, 0.0000], [0.0000, 0.0000, 10.0379]], "species": ["Er", "Th", "Th", "Mg"], "fractional_positions": [[0.0000, 0.0000, 0.0000], [0.5000, 0.5000, 0.2571], [0.5000, 0.5000, 0.7429], [0.0000, 0.0000, 0.5000]]}



# 4
{"formula": "NaZrMoAu2", "functional": "GGA-PBE", "state": "optimized geometry", "dft_energy_ev_per_atom": -4.046, "delta_e_f_ev_per_atom": 1.4049, "space_group": "No. 123", "cell": [[4.6319, 0.0000, 0.0000], [0.0000, 4.6319, 0.0000], [0.0000, 0.0000, 4.8918]], "species": ["Na", "Zr", "Mo", "Au", "Au"], "fractional_positions": [[0.0000, 0.0000, 0.0000], [0.0000, 0.0000, 0.5000], [0.5000, 0.5000, 0.5000], [0.0000, 0.5000, 0.0000], [0.5000, 0.0000, 0.0000]]}



# 5
{"formula": "Li4Pd2O", "functional": "GGA-PBE", "state": "optimized geometry", "dft_energy_ev_per_atom": -4.078, "space_group": "No. 139", "formation_energy_uncorrected_ev_per_atom": -0.79, "cell": [[-1.7987, 1.7987, 7.3583], [1.7987, -1.7987, 7.3583], [1.7987, 1.7987, -7.3583]], "species": ["Li", "Li", "Li", "Li", "Pd", "Pd", "O"], "fractional_positions": [[0.0000, 0.5000, 0.5000], [0.1307, 0.1307, 0.0000], [0.5000, 0.0000, 0.5000], [0.8693, 0.8693, 0.0000], [0.2965, 0.2965, 0.0000], [0.7035, 0.7035, 0.0000], [0.0000, 0.0000, 0.0000]]}



# 6
{"formula": "CrSbP", "functional": "GGA-PBE", "state": "optimized geometry", "dft_energy_ev_per_atom": -6.435, "e_above_lowest_polymorph_ev_per_atom": 0.1130, "space_group": "No. 59", "formation_energy_uncorrected_ev_per_atom": -0.05, "cell": [[3.2106, 0.0000, 0.0000], [0.0000, 4.4163, 0.0000], [0.0000, 0.0000, 7.5594]], "species": ["Cr", "Cr", "Sb", "Sb", "P", "P"], "fractional_positions": [[0.2500, 0.2500, 0.0734], [0.7500, 0.7500, 0.9266], [0.2500, 0.7500, 0.6136], [0.7500, 0.2500, 0.3864], [0.2500, 0.7500, 0.1440], [0.7500, 0.2500, 0.8560]]}



# 7
{"formula": "CoTe2PbI", "functional": "GGA-PBE", "state": "optimized geometry", "dft_energy_ev_per_atom": -3.578, "e_above_lowest_polymorph_ev_per_atom": 0.0000, "space_group": "No. 123", "formation_energy_uncorrected_ev_per_atom": 0.15, "cell": [[5.0949, 0.0000, 0.0000], [0.0000, 5.0949, 0.0000], [0.0000, 0.0000, 5.4728]], "species": ["Co", "Te", "Te", "Pb", "I"], "fractional_positions": [[0.0000, 0.0000, 0.0000], [0.0000, 0.5000, 0.0000], [0.5000, 0.0000, 0.0000], [0.5000, 0.5000, 0.5000], [0.0000, 0.0000, 0.5000]]}



# 8
{"formula": "TbThTeOs", "functional": "GGA-PBE", "state": "optimized geometry", "dft_energy_ev_per_atom": -7.312, "space_group": "No. 160", "formation_energy_uncorrected_ev_per_atom": -0.71, "cell": [[2.1043, 1.2149, 7.3574], [-2.1043, 1.2149, 7.3574], [0.0000, -2.4298, 7.3574]], "species": ["Tb", "Th", "Te", "Os"], "fractional_positions": [[0.0000, 0.0000, 0.0000], [0.8010, 0.8010, 0.8010], [0.2390, 0.2390, 0.2390], [0.4028, 0.4028, 0.4028]]}



# 9
{"formula": "CeHoAgPb", "functional": "GGA-PBE", "state": "optimized geometry", "dft_energy_ev_per_atom": -4.570, "delta_e_f_ev_per_atom": -0.3023, "space_group": "No. 216", "cell": [[0.0000, 3.7888, 3.7888], [3.7888, 0.0000, 3.7888], [3.7888, 3.7888, 0.0000]], "species": ["Ce", "Ho", "Ag", "Pb"], "fractional_positions": [[0.0000, 0.0000, 0.0000], [0.5000, 0.5000, 0.5000], [0.2500, 0.2500, 0.2500], [0.7500, 0.7500, 0.7500]]}



# 10
{"formula": "Na2Li3TlI6", "functional": "GGA-PBE", "state": "optimized geometry", "dft_energy_ev_per_atom": -2.768, "space_group": "No. 12", "formation_energy_uncorrected_ev_per_atom": -1.10, "cell": [[9.8962, -2.2348, 0.0000], [9.8962, 2.2348, 0.0000], [-2.3534, 0.0000, 8.8586]], "species": ["Na", "Na", "Li", "Li", "Li", "Tl", "I", "I", "I", "I", "I", "I"], "fractional_positions": [[0.1671, 0.1671, 0.3322], [0.8329, 0.8329, 0.6678], [0.1680, 0.1680, 0.8225], [0.5000, 0.5000, 0.5000], [0.8320, 0.8320, 0.1775], [0.5000, 0.5000, 0.0000], [0.0068, 0.0068, 0.7207], [0.3221, 0.3221, 0.9221], [0.3366, 0.3366, 0.4098], [0.6634, 0.6634, 0.5902], [0.6779, 0.6779, 0.0779], [0.9932, 0.9932, 0.2793]]}



# 11
{"formula": "AlCdRe2", "functional": "GGA-PBE", "state": "optimized geometry", "dft_energy_ev_per_atom": -7.026, "delta_e_f_ev_per_atom": 0.3625, "e_above_lowest_polymorph_ev_per_atom": 0.2509, "space_group": "No. 12", "cell": [[4.6880, -1.4138, 0.0000], [4.6880, 1.4138, 0.0000], [-1.0344, 0.0000, 4.8360]], "species": ["Al", "Cd", "Re", "Re"], "fractional_positions": [[0.0000, 0.0000, 0.0000], [0.5000, 0.5000, 0.5000], [0.2594, 0.2594, 0.7688], [0.7406, 0.7406, 0.2312]]}



# 12
{"formula": "Mo2AsBr", "functional": "GGA-PBE", "state": "optimized geometry", "dft_energy_ev_per_atom": -6.618, "e_above_lowest_polymorph_ev_per_atom": 0.2455, "space_group": "No. 8", "formation_energy_uncorrected_ev_per_atom": 0.38, "cell": [[4.3810, -1.6106, 0.0000], [4.3810, 1.6106, 0.0000], [-1.4977, 0.0000, 5.0859]], "species": ["Mo", "Mo", "As", "Br"], "fractional_positions": [[0.0000, 0.0000, 0.0000], [0.2407, 0.2407, 0.6237], [0.5255, 0.5255, 0.6474], [0.7478, 0.7478, 0.2302]]}



Repeat the ninth record exactly.
{"formula": "CeHoAgPb", "functional": "GGA-PBE", "state": "optimized geometry", "dft_energy_ev_per_atom": -4.570, "delta_e_f_ev_per_atom": -0.3023, "space_group": "No. 216", "cell": [[0.0000, 3.7888, 3.7888], [3.7888, 0.0000, 3.7888], [3.7888, 3.7888, 0.0000]], "species": ["Ce", "Ho", "Ag", "Pb"], "fractional_positions": [[0.0000, 0.0000, 0.0000], [0.5000, 0.5000, 0.5000], [0.2500, 0.2500, 0.2500], [0.7500, 0.7500, 0.7500]]}